Record 1
SiSeO: relaxed, GGA-PBE.

The structure in CIF format:
```
data_SiSeO
_chemical_formula_sum 'Si2 Se2 O2'
_cell_length_a 3.7158
_cell_length_b 5.3139
_cell_length_c 7.0099
_cell_angle_alpha 68.22
_cell_angle_beta 88.09
_cell_angle_gamma 69.54
_symmetry_space_group_name_H-M 'P -1'
_symmetry_Int_Tables_number 2
loop_
_symmetry_equiv_pos_as_xyz
'x,y,z'
'-x,-y,-z'
loop_
_atom_site_label
_atom_site_type_symbol
_atom_site_fract_x
_atom_site_fract_y
_atom_site_fract_z
Si1 Si 0.1424 0.2157 0.0001
Se1 Se 0.0579 0.3488 0.2804
O1 O 0.3143 0.8714 0.9995
```

Properties
Fermi-level density of states ... 0.00 states/eV/f.u.
Energy relative to the lowest polymorph listed for this composition ... 0 meV/atom
Formation energy without anion corrections ... -3.9 eV per formula unit

***

Record 2
NaNb2Br8: relaxed, GGA-PBE.

The structure in CIF format:
```
data_NaNb2Br8
_chemical_formula_sum 'Na2 Nb4 Br16'
_cell_length_a 13.6800
_cell_length_b 10.3769
_cell_length_c 7.0253
_cell_angle_alpha 90.00
_cell_angle_beta 96.42
_cell_angle_gamma 90.00
_symmetry_space_group_name_H-M 'C 1 2/m 1'
_symmetry_Int_Tables_number 12
loop_
_symmetry_equiv_pos_as_xyz
'x,y,z'
'-x,-y,-z'
'-x,y,-z'
'x,-y,z'
'x+1/2,y+1/2,z'
'-x+1/2,-y+1/2,-z'
'-x+1/2,y+1/2,-z'
'x+1/2,-y+1/2,z'
loop_
_atom_site_label
_atom_site_type_symbol
_atom_site_fract_x
_atom_site_fract_y
_atom_site_fract_z
Na1 Na 0.0000 0.0000 0.0000
Nb1 Nb 0.2006 0.0000 0.6527
Br1 Br 0.1096 0.1864 0.7701
Br2 Br 0.1279 0.5000 0.2054
Br3 Br 0.1866 0.0000 0.2979
```

Properties
Fermi-level density of states ... 12.92 states/eV/f.u.
Formation energy without anion corrections ... -9.2 eV per formula unit

***

Record 3
TmScPtAu: relaxed, GGA-PBE.

The structure in CIF format:
```
data_TmScPtAu
_chemical_formula_sum 'Tm1 Sc1 Pt1 Au1'
_cell_length_a 3.4110
_cell_length_b 3.4110
_cell_length_c 6.9241
_cell_angle_alpha 90.00
_cell_angle_beta 90.00
_cell_angle_gamma 90.00
_symmetry_space_group_name_H-M 'P 4 m m'
_symmetry_Int_Tables_number 99
loop_
_symmetry_equiv_pos_as_xyz
'x,y,z'
'-y,x,z'
'-x,-y,z'
'y,-x,z'
'-x,y,z'
'y,x,z'
'x,-y,z'
'-y,-x,z'
loop_
_atom_site_label
_atom_site_type_symbol
_atom_site_fract_x
_atom_site_fract_y
_atom_site_fract_z
Tm1 Tm 0.0000 0.0000 0.0000
Sc1 Sc 0.0000 0.0000 0.5165
Pt1 Pt 0.5000 0.5000 0.7424
Au1 Au 0.5000 0.5000 0.2759
```

Properties
Fermi-level density of states ... 2.50 states/eV/f.u.
Energy relative to the lowest polymorph listed for this composition ... 0 meV/atom